Density functional theory data (PBE) for crystalline SbH2OsO8 at its relaxed geometry.

Output
* spin magnetization: 1.03 μB/cell
* total DFT energy (no corrections): -69.46 eV per cell

CIF file:
```
data_SbH2OsO8
_chemical_formula_sum 'Sb1 H2 Os1 O8'
_cell_length_a 5.161
_cell_length_b 5.243
_cell_length_c 5.993
_cell_angle_alpha 89.59
_cell_angle_beta 75.73
_cell_angle_gamma 83.22
_symmetry_space_group_name_H-M 'P -1'
_symmetry_Int_Tables_number 2
_symmetry_space_group_name_Hall '-P 1'
loop_
_atom_site_label
_atom_site_fract_x
_atom_site_fract_y
_atom_site_fract_z
Sb1 0.000 0.000 0.000
H1 0.485 0.780 0.845
Os1 0.000 0.000 0.500
O1 0.103 0.217 0.712
O2 0.214 0.132 0.212
O3 0.276 0.762 0.521
O4 0.300 0.718 0.885
```



Density functional theory data (PBE) for crystalline NaHf2MgBr at its relaxed geometry.

Output
* spin magnetization: 0.00 μB/cell
* total DFT energy (no corrections): -21.69 eV per cell

CIF file:
```
data_NaHf2MgBr
_chemical_formula_sum 'Na1 Hf2 Mg1 Br1'
_cell_length_a 5.008
_cell_length_b 5.008
_cell_length_c 5.148
_cell_angle_alpha 90.00
_cell_angle_beta 90.00
_cell_angle_gamma 90.00
_symmetry_space_group_name_H-M 'P 4/m m m'
_symmetry_Int_Tables_number 123
_symmetry_space_group_name_Hall '-P 4 2'
loop_
_atom_site_label
_atom_site_fract_x
_atom_site_fract_y
_atom_site_fract_z
Na1 0.000 0.000 0.000
Hf1 0.000 0.500 0.500
Mg1 0.500 0.500 0.000
Br1 0.000 0.000 0.500
```



Density functional theory data (PBE) for crystalline ScGaS2N at its relaxed geometry.

Output
* spin magnetization: 2.43 μB/cell
* energy above the lowest structure with this stoichiometry: 0.085 eV/atom

CIF file:
```
data_ScGaS2N
_chemical_formula_sum 'Sc1 Ga1 S2 N1'
_cell_length_a 5.030
_cell_length_b 5.030
_cell_length_c 4.227
_cell_angle_alpha 90.00
_cell_angle_beta 90.00
_cell_angle_gamma 90.00
_symmetry_space_group_name_H-M 'P 4/m m m'
_symmetry_Int_Tables_number 123
_symmetry_space_group_name_Hall '-P 4 2'
loop_
_atom_site_label
_atom_site_fract_x
_atom_site_fract_y
_atom_site_fract_z
Sc1 0.000 0.000 0.000
Ga1 0.500 0.500 0.500
S1 0.000 0.500 0.000
N1 0.000 0.000 0.500
```



Density functional theory data (PBE) for crystalline NbGaCl2 at its relaxed geometry.

Output
* spin magnetization: 0.00 μB/cell
* energy above the lowest structure with this stoichiometry: 0.000 eV/atom

CIF file:
```
data_NbGaCl2
_chemical_formula_sum 'Nb4 Ga4 Cl8'
_cell_length_a 4.213
_cell_length_b 4.213
_cell_length_c 17.659
_cell_angle_alpha 90.00
_cell_angle_beta 90.00
_cell_angle_gamma 90.00
_symmetry_space_group_name_H-M 'I -4 2 d'
_symmetry_Int_Tables_number 122
_symmetry_space_group_name_Hall 'I -4 2bw'
loop_
_atom_site_label
_atom_site_fract_x
_atom_site_fract_y
_atom_site_fract_z
Nb1 0.000 0.000 0.000
Ga1 0.000 0.000 0.500
Cl1 0.229 0.250 0.125
```



Density functional theory data (PBE) for crystalline Zr2MnAuN at its relaxed geometry.

Output
* spin magnetization: 1.44 μB/cell
* energy above the lowest structure with this stoichiometry: 0.000 eV/atom

CIF file:
```
data_Zr2MnAuN
_chemical_formula_sum 'Zr2 Mn1 Au1 N1'
_cell_length_a 4.548
_cell_length_b 4.548
_cell_length_c 3.825
_cell_angle_alpha 90.00
_cell_angle_beta 90.00
_cell_angle_gamma 90.00
_symmetry_space_group_name_H-M 'P 4/m m m'
_symmetry_Int_Tables_number 123
_symmetry_space_group_name_Hall '-P 4 2'
loop_
_atom_site_label
_atom_site_fract_x
_atom_site_fract_y
_atom_site_fract_z
Zr1 0.000 0.500 0.000
Mn1 0.000 0.000 0.500
Au1 0.500 0.500 0.500
N1 0.000 0.000 0.000
```



Density functional theory data (PBE) for crystalline ReRuAu at its relaxed geometry.

Output
* spin magnetization: 0.01 μB/cell
* ΔE_f: 0.4428 eV/atom
* energy above the lowest structure with this stoichiometry: 0.275 eV/atom

CIF file:
```
data_ReRuAu
_chemical_formula_sum 'Re4 Ru4 Au4'
_cell_length_a 2.844
_cell_length_b 4.676
_cell_length_c 14.469
_cell_angle_alpha 90.00
_cell_angle_beta 90.00
_cell_angle_gamma 90.00
_symmetry_space_group_name_H-M 'F m m 2'
_symmetry_Int_Tables_number 42
_symmetry_space_group_name_Hall 'F 2 -2'
loop_
_atom_site_label
_atom_site_fract_x
_atom_site_fract_y
_atom_site_fract_z
Re1 0.000 0.000 0.000
Ru1 0.000 0.000 0.354
Au1 0.000 0.000 0.678
```



Density functional theory data (PBE) for crystalline YSc3 at its relaxed geometry.

Output
* spin magnetization: 4.52 μB/cell
* ΔE_f: 0.0281 eV/atom
* energy above the lowest structure with this stoichiometry: 0.010 eV/atom

CIF file:
```
data_YSc3
_chemical_formula_sum 'Y4 Sc12'
_cell_length_a 6.792
_cell_length_b 11.761
_cell_length_c 5.306
_cell_angle_alpha 90.00
_cell_angle_beta 90.00
_cell_angle_gamma 90.00
_symmetry_space_group_name_H-M 'C m c m'
_symmetry_Int_Tables_number 63
_symmetry_space_group_name_Hall '-C 2c 2'
loop_
_atom_site_label
_atom_site_fract_x
_atom_site_fract_y
_atom_site_fract_z
Y1 0.000 0.086 0.250
Sc1 0.000 0.415 0.750
Sc2 0.248 0.332 0.250
```



Density functional theory data (PBE) for crystalline AcTcPdO6 at its relaxed geometry.

Output
* spin magnetization: 0.00 μB/cell
* total DFT energy (no corrections): -64.09 eV per cell

CIF file:
```
data_AcTcPdO6
_chemical_formula_sum 'Ac1 Tc1 Pd1 O6'
_cell_length_a 5.105
_cell_length_b 5.411
_cell_length_c 5.416
_cell_angle_alpha 116.35
_cell_angle_beta 91.75
_cell_angle_gamma 91.72
_symmetry_space_group_name_H-M 'P 1'
_symmetry_Int_Tables_number 1
_symmetry_space_group_name_Hall 'P 1'
loop_
_atom_site_label
_atom_site_fract_x
_atom_site_fract_y
_atom_site_fract_z
Ac1 0.000 0.000 0.000
Tc1 0.501 0.353 0.648
Pd1 0.501 0.691 0.309
O1 0.264 0.089 0.624
O2 0.296 0.395 0.354
O3 0.310 0.651 0.951
O4 0.692 0.049 0.351
O5 0.705 0.647 0.604
O6 0.740 0.380 0.912
```



Density functional theory data (PBE) for crystalline HfCu2Au8 at its relaxed geometry.

Output
* spin magnetization: 0.00 μB/cell
* ΔE_f: -0.1828 eV/atom

CIF file:
```
data_HfCu2Au8
_chemical_formula_sum 'Hf2 Cu4 Au16'
_cell_length_a 14.631
_cell_length_b 4.146
_cell_length_c 6.596
_cell_angle_alpha 90.00
_cell_angle_beta 108.63
_cell_angle_gamma 90.00
_symmetry_space_group_name_H-M 'C 1 2/m 1'
_symmetry_Int_Tables_number 12
_symmetry_space_group_name_Hall '-C 2y'
loop_
_atom_site_label
_atom_site_fract_x
_atom_site_fract_y
_atom_site_fract_z
Hf1 0.000 0.000 0.000
Cu1 0.223 0.500 0.639
Au1 0.045 0.500 0.731
Au2 0.103 0.000 0.461
Au3 0.144 0.500 0.204
Au4 0.181 0.000 0.923
```



Density functional theory data (PBE) for crystalline Be2GeH at its relaxed geometry.

Output
* spin magnetization: 0.00 μB/cell
* energy above the lowest structure with this stoichiometry: 0.045 eV/atom

CIF file:
```
data_Be2GeH
_chemical_formula_sum 'Be2 Ge1 H1'
_cell_length_a 3.740
_cell_length_b 3.761
_cell_length_c 3.898
_cell_angle_alpha 77.20
_cell_angle_beta 61.92
_cell_angle_gamma 61.00
_symmetry_space_group_name_H-M 'P 1'
_symmetry_Int_Tables_number 1
_symmetry_space_group_name_Hall 'P 1'
loop_
_atom_site_label
_atom_site_fract_x
_atom_site_fract_y
_atom_site_fract_z
Be1 0.000 0.000 0.000
Be2 0.351 0.353 0.008
Ge1 0.514 0.676 0.334
H1 0.816 0.168 0.706
```



Density functional theory data (PBE) for crystalline Na2MnCl6 at its relaxed geometry.

Output
* spin magnetization: 6.10 μB/cell
* energy above the lowest structure with this stoichiometry: 0.042 eV/atom

CIF file:
```
data_Na2MnCl6
_chemical_formula_sum 'Na4 Mn2 Cl12'
_cell_length_a 6.253
_cell_length_b 6.253
_cell_length_c 11.784
_cell_angle_alpha 90.00
_cell_angle_beta 90.00
_cell_angle_gamma 90.00
_symmetry_space_group_name_H-M 'P 42/m n m'
_symmetry_Int_Tables_number 136
_symmetry_space_group_name_Hall '-P 4n 2n'
loop_
_atom_site_label
_atom_site_fract_x
_atom_site_fract_y
_atom_site_fract_z
Na1 0.000 0.000 0.166
Mn1 0.000 0.000 0.500
Cl1 0.180 0.180 0.361
Cl2 0.240 0.240 0.000
```



Density functional theory data (PBE) for crystalline Sm2Pu3ScS6 at its relaxed geometry.

Output
* spin magnetization: 10.93 μB/cell
* total DFT energy (no corrections): -211.90 eV per cell

CIF file:
```
data_Sm2Pu3ScS6
_chemical_formula_sum 'Sm4 Pu6 Sc2 S12'
_cell_length_a 17.127
_cell_length_b 3.929
_cell_length_c 7.870
_cell_angle_alpha 90.00
_cell_angle_beta 102.74
_cell_angle_gamma 90.00
_symmetry_space_group_name_H-M 'C 1 2/m 1'
_symmetry_Int_Tables_number 12
_symmetry_space_group_name_Hall '-C 2y'
loop_
_atom_site_label
_atom_site_fract_x
_atom_site_fract_y
_atom_site_fract_z
Sm1 0.165 0.000 0.334
Pu1 0.000 0.500 0.500
Pu2 0.168 0.000 0.835
Sc1 0.000 0.500 0.000
S1 0.002 0.000 0.764
S2 0.162 0.500 0.077
S3 0.166 0.500 0.588
```



Density functional theory data (PBE) for crystalline TbSeClO4 at its relaxed geometry.

Output
* spin magnetization: 0.00 μB/cell
* total DFT energy (no corrections): -166.96 eV per cell

CIF file:
```
data_TbSeClO4
_chemical_formula_sum 'Tb4 Se4 Cl4 O16'
_cell_length_a 10.020
_cell_length_b 7.179
_cell_length_c 6.700
_cell_angle_alpha 90.00
_cell_angle_beta 104.54
_cell_angle_gamma 90.00
_symmetry_space_group_name_H-M 'C 1 2/m 1'
_symmetry_Int_Tables_number 12
_symmetry_space_group_name_Hall '-C 2y'
loop_
_atom_site_label
_atom_site_fract_x
_atom_site_fract_y
_atom_site_fract_z
Tb1 0.222 0.000 0.126
Se1 0.137 0.500 0.270
Cl1 0.019 0.000 0.767
O1 0.030 0.500 0.757
O2 0.189 0.323 0.139
O3 0.225 0.500 0.513
```



Density functional theory data (PBE) for crystalline TcSbIr2 at its relaxed geometry.

Output
* spin magnetization: 2.34 μB/cell
* total DFT energy (no corrections): -61.65 eV per cell

CIF file:
```
data_TcSbIr2
_chemical_formula_sum 'Tc2 Sb2 Ir4'
_cell_length_a 2.928
_cell_length_b 4.733
_cell_length_c 9.426
_cell_angle_alpha 90.00
_cell_angle_beta 90.00
_cell_angle_gamma 90.00
_symmetry_space_group_name_H-M 'I m m 2'
_symmetry_Int_Tables_number 44
_symmetry_space_group_name_Hall 'I 2 -2'
loop_
_atom_site_label
_atom_site_fract_x
_atom_site_fract_y
_atom_site_fract_z
Tc1 0.000 0.000 0.000
Sb1 0.000 0.500 0.258
Ir1 0.000 0.000 0.525
Ir2 0.000 0.500 0.749
```



Density functional theory data (PBE) for crystalline Ti2Nb2Tc at its relaxed geometry.

Output
* spin magnetization: 0.00 μB/cell
* ΔE_f: 0.2224 eV/atom
* energy above the lowest structure with this stoichiometry: 0.399 eV/atom

CIF file:
```
data_Ti2Nb2Tc
_chemical_formula_sum 'Ti4 Nb4 Tc2'
_cell_length_a 6.857
_cell_length_b 6.857
_cell_length_c 3.671
_cell_angle_alpha 90.00
_cell_angle_beta 90.00
_cell_angle_gamma 90.00
_symmetry_space_group_name_H-M 'P 4/m b m'
_symmetry_Int_Tables_number 127
_symmetry_space_group_name_Hall '-P 4 2ab'
loop_
_atom_site_label
_atom_site_fract_x
_atom_site_fract_y
_atom_site_fract_z
Ti1 0.143 0.357 0.000
Nb1 0.164 0.664 0.500
Tc1 0.000 0.000 0.000
```



Density functional theory data (PBE) for crystalline Pr2PuThBi4 at its relaxed geometry.

Output
* spin magnetization: 5.52 μB/cell
* ΔE_f: -0.7302 eV/atom

CIF file:
```
data_Pr2PuThBi4
_chemical_formula_sum 'Pr2 Pu1 Th1 Bi4'
_cell_length_a 7.979
_cell_length_b 4.612
_cell_length_c 7.989
_cell_angle_alpha 90.00
_cell_angle_beta 109.45
_cell_angle_gamma 90.00
_symmetry_space_group_name_H-M 'P 1 2/m 1'
_symmetry_Int_Tables_number 10
_symmetry_space_group_name_Hall '-P 2y'
loop_
_atom_site_label
_atom_site_fract_x
_atom_site_fract_y
_atom_site_fract_z
Pr1 0.000 0.000 0.000
Pr2 0.500 0.500 0.000
Pu1 0.000 0.500 0.500
Th1 0.500 0.000 0.500
Bi1 0.247 0.000 0.744
Bi2 0.250 0.500 0.254
```



Density functional theory data (PBE) for crystalline Cr2IrAu at its relaxed geometry.

Output
* spin magnetization: 3.51 μB/cell
* ΔE_f: 0.1922 eV/atom
* energy above the lowest structure with this stoichiometry: 0.080 eV/atom

CIF file:
```
data_Cr2IrAu
_chemical_formula_sum 'Cr4 Ir2 Au2'
_cell_length_a 5.376
_cell_length_b 7.595
_cell_length_c 2.742
_cell_angle_alpha 90.00
_cell_angle_beta 90.00
_cell_angle_gamma 90.00
_symmetry_space_group_name_H-M 'C m m m'
_symmetry_Int_Tables_number 65
_symmetry_space_group_name_Hall '-C 2 2'
loop_
_atom_site_label
_atom_site_fract_x
_atom_site_fract_y
_atom_site_fract_z
Cr1 0.250 0.250 0.000
Ir1 0.000 0.000 0.500
Au1 0.000 0.500 0.500
```



Density functional theory data (PBE) for crystalline TlMo2POs at its relaxed geometry.

Output
* spin magnetization: 0.84 μB/cell
* ΔE_f: 0.6612 eV/atom

CIF file:
```
data_TlMo2POs
_chemical_formula_sum 'Tl1 Mo2 P1 Os1'
_cell_length_a 4.507
_cell_length_b 4.507
_cell_length_c 4.428
_cell_angle_alpha 90.00
_cell_angle_beta 90.00
_cell_angle_gamma 90.00
_symmetry_space_group_name_H-M 'P 4/m m m'
_symmetry_Int_Tables_number 123
_symmetry_space_group_name_Hall '-P 4 2'
loop_
_atom_site_label
_atom_site_fract_x
_atom_site_fract_y
_atom_site_fract_z
Tl1 0.000 0.000 0.000
Mo1 0.000 0.500 0.500
P1 0.500 0.500 0.500
Os1 0.500 0.500 0.000
```



Density functional theory data (PBE) for crystalline La5SmSn6 at its relaxed geometry.

Output
* spin magnetization: 0.00 μB/cell
* ΔE_f: -0.7239 eV/atom

CIF file:
```
data_La5SmSn6
_chemical_formula_sum 'La10 Sm2 Sn12'
_cell_length_a 5.090
_cell_length_b 9.160
_cell_length_c 15.263
_cell_angle_alpha 90.00
_cell_angle_beta 90.00
_cell_angle_gamma 90.00
_symmetry_space_group_name_H-M 'I m m m'
_symmetry_Int_Tables_number 71
_symmetry_space_group_name_Hall '-I 2 2'
loop_
_atom_site_label
_atom_site_fract_x
_atom_site_fract_y
_atom_site_fract_z
La1 0.000 0.000 0.000
La2 0.000 0.000 0.333
La3 0.000 0.500 0.333
Sm1 0.000 0.500 0.000
Sn1 0.000 0.246 0.500
Sn2 0.000 0.252 0.164
```



Density functional theory data (PBE) for crystalline Mn2CoAu at its relaxed geometry.

Output
* spin magnetization: 25.37 μB/cell
* ΔE_f: 0.2149 eV/atom
* energy above the lowest structure with this stoichiometry: 0.197 eV/atom

CIF file:
```
data_Mn2CoAu
_chemical_formula_sum 'Mn6 Co3 Au3'
_cell_length_a 2.8127
_cell_length_b 2.8127
_cell_length_c 25.1697
_cell_angle_alpha 90.00
_cell_angle_beta 90.00
_cell_angle_gamma 120.00
_symmetry_space_group_name_H-M 'R -3 m'
_symmetry_Int_Tables_number 166
_symmetry_space_group_name_Hall '-R 3 2"'
loop_
_atom_site_label
_atom_site_fract_x
_atom_site_fract_y
_atom_site_fract_z
Mn1 0.0000 0.0000 0.2420
Co1 0.0000 0.0000 0.5000
Au1 0.0000 0.0000 0.0000
```